[1]
Compound: Y2TmTl3S6
Source: the Alexandria database
Functional: PBE
Structure: relaxed

Raw formation energy   -1.491 eV/atom
Density of states at the Fermi level   0.00 states/eV/f.u.
Total energy   -134.32 eV per cell

Unit cell a=6.9567 b=12.0492 c=7.8712 alpha=90.00 beta=107.14 gamma=90.00
Last column: nearest neighbours and their distance in Å.
Space group C2/m (No. 12)
Symmetry-distinct sites (fractional):
1 Y 0.0000 0.1666 0.0000 x4  6 S 2.76-2.77
2 Tm 0.0000 0.5000 0.0000 x2  6 S 2.73
3 Tl 0.0000 0.0000 0.5000 x2  6 S 3.24-3.27
4 Tl 0.0000 0.3326 0.5000 x4  6 S 3.24-3.27
5 S 0.2304 0.3353 0.1969 x8  1 Tm 2.73, 2 Y 2.76
6 S 0.2365 0.0000 0.1977 x4  1 Tm 2.73, 2 Y 2.77

=====

[2]
Compound: YTm2Tl3S6
Source: the Alexandria database
Functional: PBE
Structure: relaxed

Raw formation energy   -1.490 eV/atom
Density of states at the Fermi level   0.00 states/eV/f.u.
Total energy   -130.30 eV per cell

Unit cell a=6.9212 b=11.9877 c=7.8705 alpha=90.00 beta=107.05 gamma=90.00
Last column: nearest neighbours and their distance in Å.
Space group C2/m (No. 12)
Symmetry-distinct sites (fractional):
1 Y 0.0000 0.0000 0.0000 x2  6 S 2.76
2 Tm 0.0000 0.3333 0.0000 x4  6 S 2.73
3 Tl 0.0000 0.1660 0.5000 x4  6 S 3.23-3.26
4 Tl 0.0000 0.5000 0.5000 x2  6 S 3.23-3.26
5 S 0.2280 0.5000 0.1956 x4  2 Tm 2.73, 1 Y 2.76
6 S 0.2341 0.1686 0.1964 x8  2 Tm 2.73, 1 Y 2.76

=====

[3]
Compound: YTmTlS
Source: the Alexandria database
Functional: PBE
Structure: relaxed

Raw formation energy   -1.135 eV/atom
Density of states at the Fermi level   2.51 states/eV/f.u.
Total energy   -43.94 eV per cell

Unit cell a=6.5276 b=3.7712 c=8.3753 alpha=90.00 beta=104.97 gamma=90.00
Last column: nearest neighbours and their distance in Å.
Space group Cm (No. 8)
Symmetry-distinct sites (fractional):
1 Y 0.0000 0.0000 0.0000 x2  3 S 2.71
2 Tm 0.2018 0.0000 0.6050 x2  3 S 2.69
3 Tl 0.4350 0.0000 0.3056 x2  3 Tm 3.25-3.26, 3 Y 3.29-3.30
4 S 0.1004 0.5000 0.8009 x2  3 Tm 2.69, 3 Y 2.71

=====

[4]
Compound: TmTlZnS3
Source: the Alexandria database
Functional: PBE
Structure: relaxed

Raw formation energy   -1.212 eV/atom
Density of states at the Fermi level   0.00 states/eV/f.u.
Total energy   -55.53 eV per cell

Unit cell a=8.7761 b=3.9520 c=9.4551 alpha=90.00 beta=108.32 gamma=90.00
Last column: nearest neighbours and their distance in Å.
Space group P2_1/m (No. 11)
Symmetry-distinct sites (fractional):
1 Tm 0.1699 0.2500 0.1413 x2  6 S 2.67-2.84
2 Tl 0.2866 0.7500 0.7791 x2  5 S 3.17-3.40
3 Zn 0.4186 0.7500 0.3901 x2  4 S 2.32-2.42
4 S 0.0358 0.2500 0.8459 x2  3 Tm 2.67-2.70
5 S 0.3020 0.2500 0.4573 x2  3 Zn 2.40-2.42
6 S 0.3811 0.7500 0.1360 x2  1 Zn 2.32

=====

[5]
Compound: Tm2Tl3ZnS6
Source: the Alexandria database
Functional: PBE
Structure: relaxed

Raw formation energy   -1.047 eV/atom
Density of states at the Fermi level   5.51 states/eV/f.u.
Total energy   -109.29 eV per cell

Unit cell a=6.8258 b=11.7792 c=7.5905 alpha=90.00 beta=107.74 gamma=90.00
Last column: nearest neighbours and their distance in Å.
Space group C2/m (No. 12)
Symmetry-distinct sites (fractional):
1 Tm 0.0000 0.1661 0.0000 x4  6 S 2.71
2 Tl 0.0000 0.0000 0.5000 x2  6 S 3.13-3.17
3 Tl 0.0000 0.3300 0.5000 x4  6 S 3.13-3.19
4 Zn 0.0000 0.5000 0.0000 x2  6 S 2.60-2.68
5 S 0.2266 0.3392 0.1952 x8  1 Zn 2.60, 2 Tm 2.71
6 S 0.2402 0.0000 0.2029 x4  1 Zn 2.68, 2 Tm 2.71

=====

[6]
Compound: Tm3ZrTl3S8
Source: the Alexandria database
Functional: PBE
Structure: relaxed

Raw formation energy   -1.507 eV/atom
Total energy   -254.04 eV per cell

Unit cell a=7.8080 b=7.8080 c=22.8018 alpha=90.00 beta=90.00 gamma=120.00
Last column: nearest neighbours and their distance in Å.
Space group R-3m (No. 166, hexagonal axes)
Symmetry-distinct sites (fractional):
1 Tm 0.0000 0.5000 0.0000 x9  6 S 2.70-2.72
2 Zr 0.0000 0.0000 0.0000 x3  6 S 2.61
3 Tl 0.0000 0.5000 0.5000 x9  6 S 3.23
4 S 0.0000 0.0000 0.2684 x6  3 Tm 2.70
5 S 0.0123 0.5061 0.7303 x18  1 Zr 2.61, 2 Tm 2.72

=====

[7]
Compound: UTlS
Source: the Alexandria database
Functional: PBE
Structure: relaxed

Raw formation energy   -0.482 eV/atom
Density of states at the Fermi level   2.40 states/eV/f.u.
Total energy   -38.45 eV per cell

Unit cell a=3.6420 b=3.6420 c=13.2581 alpha=90.00 beta=90.00 gamma=120.00
Last column: nearest neighbours and their distance in Å.
Space group P-3m1 (No. 164)
Symmetry-distinct sites (fractional):
1 U 0.3333 0.6667 0.0560 x2  3 U 2.57, 3 S 2.79
2 Tl 0.0000 0.0000 0.3768 x2  3 S 3.21, 1 Tl 3.27
3 S 0.3333 0.6667 0.8057 x2  3 U 2.79

=====

[8]
Compound: UTlS4
Source: the Alexandria database
Functional: PBE
Structure: relaxed

Raw formation energy   -0.649 eV/atom
Density of states at the Fermi level   2.14 states/eV/f.u.
Total energy   -136.24 eV per cell

Unit cell a=18.2210 b=5.2705 c=8.4536 alpha=90.00 beta=109.33 gamma=90.00
Last column: nearest neighbours and their distance in Å.
Space group C2/m (No. 12)
Symmetry-distinct sites (fractional):
1 U 0.1925 0.0000 0.3088 x4  6 S 2.45-2.69
2 Tl 0.1161 0.0000 0.7377 x4  4 S 2.77-3.02
3 S 0.0740 0.0000 0.3881 x4  1 U 2.46
4 S 0.0868 0.0000 0.0391 x4  1 U 2.45
5 S 0.2022 0.5000 0.8116 x4  1 U 2.45
6 S 0.2121 0.5000 0.3736 x4  3 U 2.67-2.69

=====

[9]
Compound: U3Tl2S6
Source: the Alexandria database
Functional: PBE
Structure: relaxed

Raw formation energy   -1.143 eV/atom
Density of states at the Fermi level   11.97 states/eV/f.u.
Total energy   -151.87 eV per cell

Unit cell a=6.9280 b=11.9980 c=7.9628 alpha=90.00 beta=106.83 gamma=90.00
Last column: nearest neighbours and their distance in Å.
Space group C2/m (No. 12)
Symmetry-distinct sites (fractional):
1 U 0.0000 0.0000 0.0000 x2  6 S 2.74
2 U 0.0000 0.3340 0.0000 x4  6 S 2.74
3 Tl 0.0000 0.1667 0.5000 x4  6 S 3.28
4 S 0.2304 0.1673 0.1934 x8  3 U 2.74
5 S 0.2328 0.5000 0.1946 x4  3 U 2.74

=====

[10]
Compound: U4TlS6
Source: the Alexandria database
Functional: PBE
Structure: relaxed

Raw formation energy   -1.010 eV/atom
Density of states at the Fermi level   20.08 states/eV/f.u.
Total energy   -166.78 eV per cell

Unit cell a=7.4146 b=7.4146 c=9.7634 alpha=90.00 beta=90.00 gamma=90.00
Last column: nearest neighbours and their distance in Å.
Space group I-42m (No. 121)
Symmetry-distinct sites (fractional):
1 U 0.2011 0.2011 0.0934 x8  6 S 2.67-2.82
2 Tl 0.0000 0.0000 0.5000 x2  4 U 3.26, 4 S 3.47
3 S 0.0000 0.5000 0.0000 x4  4 U 2.82
4 S 0.1509 0.1509 0.8166 x8  4 U 2.67-2.78

=====

[11]
Compound: UTl2S4
Source: the Alexandria database
Functional: PBE
Structure: relaxed

Raw formation energy   -0.846 eV/atom
Total energy   -76.90 eV per cell

Unit cell a=8.3940 b=12.0754 c=4.0840 alpha=90.00 beta=90.00 gamma=90.00
Last column: nearest neighbours and their distance in Å.
Space group Pbam (No. 55)
Symmetry-distinct sites (fractional):
1 U 0.0000 0.0000 0.0000 x2  6 S 2.47-2.63
2 Tl 0.0999 0.3160 0.5000 x4  6 S 3.12-3.42
3 S 0.1187 0.8129 0.0000 x4  1 U 2.47
4 S 0.1811 0.0549 0.5000 x4  2 U 2.63

=====

[12]
Compound: U2TlS4
Source: the Alexandria database
Functional: PBE
Structure: relaxed

Raw formation energy   -1.181 eV/atom
E above lowest polymorph   0 meV per atom
Density of states at the Fermi level   7.50 states/eV/f.u.
Total energy   -49.72 eV per cell

Unit cell a=6.8969 b=4.0046 c=7.7653 alpha=90.00 beta=90.48 gamma=90.00
Last column: nearest neighbours and their distance in Å.
Space group P2/m (No. 10)
Symmetry-distinct sites (fractional):
1 U 0.0000 0.0000 0.0000 x1  6 S 2.71-2.73
2 U 0.5000 0.5000 0.0000 x1  6 S 2.72-2.74
3 Tl 0.0000 0.0000 0.5000 x1  6 S 3.33-3.34
4 S 0.1669 0.5000 0.1898 x2  3 U 2.73-2.74
5 S 0.3314 0.0000 0.8142 x2  3 U 2.71-2.72

=====

[13]
Compound: U2TlS4
Source: the Alexandria database
Functional: PBE
Structure: relaxed

Raw formation energy   -1.158 eV/atom
E above lowest polymorph   22 meV per atom
Density of states at the Fermi level   10.92 states/eV/f.u.
Total energy   -198.24 eV per cell

Unit cell a=4.0097 b=13.3472 c=13.6394 alpha=90.00 beta=90.00 gamma=90.00
Last column: nearest neighbours and their distance in Å.
Space group Cmcm (No. 63)
Symmetry-distinct sites (fractional):
1 U 0.0000 0.1335 0.0638 x8  6 S 2.66-2.82
2 Tl 0.0000 0.3996 0.2500 x4  6 S 3.07-3.36
3 S 0.0000 0.0743 0.2500 x4  2 U 2.66
4 S 0.0000 0.2389 0.6062 x8  3 U 2.69-2.71
5 S 0.0000 0.5000 0.0000 x4  4 U 2.82

=====

[14]
Compound: UTl5S5
Source: the Alexandria database
Functional: PBE
Structure: relaxed

Raw formation energy   -0.642 eV/atom
Density of states at the Fermi level   1.60 states/eV/f.u.
Total energy   -101.63 eV per cell

Unit cell a=14.0509 b=5.8157 c=8.8920 alpha=90.00 beta=113.62 gamma=90.00
Last column: nearest neighbours and their distance in Å.
Space group C2/m (No. 12)
Symmetry-distinct sites (fractional):
1 U 0.0000 0.0000 0.0000 x2  4 S 2.55-2.60
2 Tl 0.0000 0.0000 0.5000 x2  4 S 3.07-3.34
3 Tl 0.1520 0.5000 0.8030 x4  4 S 2.96-3.26
4 Tl 0.2010 0.5000 0.3017 x4  4 S 3.02-3.25
5 S 0.0000 0.5000 0.0000 x2  2 U 2.91, 2 Tl 3.02
6 S 0.1327 0.0000 0.2972 x4  1 U 2.55
7 S 0.1508 0.0000 0.9006 x4  1 U 2.60

=====

[15]
Compound: U6TlS12
Source: the Alexandria database
Functional: PBE
Structure: relaxed

Raw formation energy   -1.193 eV/atom
Density of states at the Fermi level   29.88 states/eV/f.u.
Total energy   -426.90 eV per cell

Unit cell a=12.8113 b=12.8113 c=9.6210 alpha=90.00 beta=90.00 gamma=120.00
Last column: nearest neighbours and their distance in Å.
Space group R-3m (No. 166, hexagonal axes)
Symmetry-distinct sites (fractional):
1 U 0.0611 0.5305 0.2791 x18  7 S 2.67-2.83
2 Tl 0.0000 0.0000 0.0000 x3  18 S 3.91-4.36
3 S 0.0000 0.3704 0.5000 x18  4 U 2.78-2.83
4 S 0.0864 0.1728 0.3547 x18  3 U 2.67-2.71

=====

[16]
Compound: UTlS2
Source: the Alexandria database
Functional: PBE
Structure: relaxed

Raw formation energy   -1.009 eV/atom
Density of states at the Fermi level   3.90 states/eV/f.u.
Total energy   -77.84 eV per cell

Unit cell a=3.9595 b=3.9595 c=23.6918 alpha=90.00 beta=90.00 gamma=120.00
Last column: nearest neighbours and their distance in Å.
Space group R3m (No. 160, hexagonal axes)
Symmetry-distinct sites (fractional):
1 U 0.0000 0.0000 0.0000 x3  6 S 2.74-2.75
2 Tl 0.0000 0.0000 0.8322 x3  6 S 3.32-3.35
3 S 0.0000 0.0000 0.3972 x3  3 U 2.74
4 S 0.0000 0.0000 0.6023 x3  3 U 2.75

=====

[17]
Compound: UTl2S5
Source: the Alexandria database
Functional: PBE
Structure: relaxed

Raw formation energy   -0.454 eV/atom
Density of states at the Fermi level   0.03 states/eV/f.u.
Total energy   -80.58 eV per cell

Unit cell a=13.5274 b=5.8885 c=8.3296 alpha=90.00 beta=124.59 gamma=90.00
Last column: nearest neighbours and their distance in Å.
Space group Cm (No. 8)
Symmetry-distinct sites (fractional):
1 U 0.0000 0.0000 0.0000 x2  5 S 2.43-2.59
2 Tl 0.2525 0.0000 0.8674 x2  3 S 2.97-3.07
3 Tl 0.3339 0.5000 0.3430 x2  6 S 3.22-3.42
4 S 0.2211 0.0000 0.1928 x2  1 U 2.46
5 S 0.4666 0.1817 0.7600 x4  1 S 2.14
6 S 0.4817 0.2301 0.2032 x4  1 U 2.43, 1 S 2.71

=====

[18]
Compound: U2Tl4S5
Source: the Alexandria database
Functional: PBE
Structure: relaxed

Raw formation energy   -0.674 eV/atom
Density of states at the Fermi level   13.16 states/eV/f.u.
Total energy   -180.27 eV per cell

Unit cell a=3.9641 b=3.9641 c=69.5269 alpha=90.00 beta=90.00 gamma=120.00
Last column: nearest neighbours and their distance in Å.
Space group R-3m (No. 166, hexagonal axes)
Symmetry-distinct sites (fractional):
1 U 0.0000 0.0000 0.1444 x6  6 S 2.71-2.76
2 Tl 0.0000 0.0000 0.3129 x6  3 S 2.76
3 Tl 0.0000 0.0000 0.4141 x6  1 S 2.66
4 S 0.0000 0.0000 0.2099 x6  3 U 2.71
5 S 0.0000 0.0000 0.3759 x6  4 Tl 2.66-2.76
6 S 0.0000 0.0000 0.5000 x3  6 U 2.76

=====

[19]
Compound: U2Tl2S7
Source: the Alexandria database
Functional: PBE
Structure: relaxed

Raw formation energy   -0.846 eV/atom
Density of states at the Fermi level   6.26 states/eV/f.u.
Total energy   -131.02 eV per cell

Unit cell a=4.0840 b=15.7493 c=8.9886 alpha=90.00 beta=90.00 gamma=90.00
Last column: nearest neighbours and their distance in Å.
Space group Imm2 (No. 44)
Symmetry-distinct sites (fractional):
1 U 0.0000 0.0000 0.0000 x2  7 S 2.63-2.94
2 U 0.0000 0.5000 0.0056 x2  4 S 2.53-2.75
3 Tl 0.0000 0.2113 0.2489 x4  3 S 2.93-3.28
4 S 0.0000 0.0000 0.3013 x2  3 U 2.71-2.75
5 S 0.0000 0.0658 0.6936 x4  1 S 2.07
6 S 0.0000 0.3414 0.9641 x4  1 U 2.53
7 S 0.0000 0.3949 0.5056 x4  2 U 2.63

=====

[20]
Compound: UTl4S4
Source: the Alexandria database
Functional: PBE
Structure: relaxed

Raw formation energy   -0.746 eV/atom
Density of states at the Fermi level   4.29 states/eV/f.u.
Total energy   -87.96 eV per cell

Unit cell a=14.4184 b=4.1060 c=10.6308 alpha=90.00 beta=121.48 gamma=90.00
Last column: nearest neighbours and their distance in Å.
Space group C2/m (No. 12)
Symmetry-distinct sites (fractional):
1 U 0.0000 0.0000 0.0000 x2  6 S 2.68-2.74
2 Tl 0.0849 0.5000 0.3914 x4  3 S 2.92-3.08
3 Tl 0.1997 0.0000 0.7779 x4  3 S 2.93-3.08
4 S 0.0947 0.5000 0.9371 x4  2 U 2.74, 1 Tl 2.93
5 S 0.1673 0.0000 0.2795 x4  1 U 2.68, 2 Tl 2.92